First-principles (GGA-PBE) data for a geometry-optimized VRh3 structure, as listed in Alexandria.

Summary:
N(E_F): 0.767 states/eV per atom
magnetic moment: 0.00 μB/f.u.
calculated formation energy: -0.3783 eV per atom
raw total energy: -8.1715 eV/atom

Geometry as CIF:
```
data_VRh3
_symmetry_space_group_name_H-M 'P 1'
_symmetry_Int_Tables_number 1
_symmetry_space_group_name_Hall 'P 1'
_cell_length_a 3.810
_cell_length_b 3.810
_cell_length_c 3.810
_cell_angle_alpha 90.00
_cell_angle_beta 90.00
_cell_angle_gamma 90.00
loop_
_atom_site_label
_atom_site_type_symbol
_atom_site_fract_x
_atom_site_fract_y
_atom_site_fract_z
V1 V 0.000 0.000 0.000
Rh1 Rh 0.000 0.500 0.500
Rh2 Rh 0.500 0.000 0.500
Rh3 Rh 0.500 0.500 0.000
```